[1]
Entry from the Alexandria database: an optimized crystal structure of BaLiAs2Se4 (PBE).

Unit cell a=6.854 b=7.220 c=8.623 alpha=90.00 beta=90.00 gamma=90.00
Space group I222 (No. 23)
Unique sites:
Ba 0.000 0.000 0.000 x2
Li 0.000 0.000 0.500 x2
As 0.000 0.500 0.299 x4
Se 0.232 0.185 0.671 x8

Uncorrected formation energy, eV/atom: -0.6931

***

[2]
Entry from the Alexandria database: an optimized crystal structure of Ba2LiAsSe (PBE).

Unit cell a=6.303 b=6.303 c=5.385 alpha=90.00 beta=90.00 gamma=90.00
Space group P4/mmm (No. 123)
Unique sites:
Ba 0.000 0.500 0.000 x2
Li 0.000 0.000 0.500 x1
As 0.500 0.500 0.000 x1
Se 0.500 0.500 0.500 x1

Uncorrected formation energy, eV/atom: -0.4046

***

[3]
Entry from the Alexandria database: an optimized crystal structure of BaLiAs2Se (PBE).

Unit cell a=4.803 b=4.803 c=5.242 alpha=90.00 beta=90.00 gamma=90.00
Space group P4/mmm (No. 123)
Unique sites:
Ba 0.000 0.000 0.000 x1
Li 0.500 0.500 0.500 x1
As 0.000 0.500 0.500 x2
Se 0.500 0.500 0.000 x1

Uncorrected formation energy, eV/atom: -0.4552

***

[4]
Entry from the Alexandria database: an optimized crystal structure of BaLiAs2Se (PBE).

Unit cell a=6.077 b=6.077 c=6.113 alpha=90.00 beta=90.00 gamma=90.00
Space group P4/mmm (No. 123)
Unique sites:
Ba 0.000 0.000 0.000 x1
Li 0.500 0.500 0.500 x1
As 0.000 0.500 0.000 x2
Se 0.000 0.000 0.500 x1

Uncorrected formation energy, eV/atom: 0.5186

***

[5]
Entry from the Alexandria database: an optimized crystal structure of BaLi2AsSe4 (PBE).

Unit cell a=7.106 b=7.106 c=8.524 alpha=90.00 beta=90.00 gamma=90.00
Space group I-42m (No. 121)
Unique sites:
Ba 0.000 0.000 0.000 x2
Li 0.000 0.500 0.250 x4
As 0.000 0.000 0.500 x2
Se 0.200 0.200 0.328 x8

Uncorrected formation energy, eV/atom: -0.9952

***

[6]
Entry from the Alexandria database: an optimized crystal structure of BaLiSiAs2 (PBE).

Unit cell a=6.158 b=13.238 c=6.047 alpha=90.00 beta=90.00 gamma=90.00
Space group Cmme (No. 67)
Unique sites:
Ba 0.000 0.250 0.235 x4
Li 0.250 0.000 0.500 x4
Si 0.000 0.000 0.000 x4
As 0.000 0.128 0.740 x8

Uncorrected formation energy, eV/atom: -0.4272

***

[7]
Entry from the Alexandria database: an optimized crystal structure of Ba2LiSn2As4 (PBE).

Unit cell a=16.855 b=5.033 c=6.561 alpha=90.00 beta=112.86 gamma=90.00
Space group C2/m (No. 12)
Unique sites:
Ba 0.137 0.000 0.137 x4
Li 0.000 0.000 0.500 x2
Sn 0.133 0.500 0.633 x4
As 0.000 0.500 0.218 x4
As 0.198 0.000 0.697 x4

Formation energy, eV per atom: -0.627

***

[8]
Entry from the Alexandria database: an optimized crystal structure of Ba2LiSnAs (PBE).

Unit cell a=6.362 b=6.362 c=4.312 alpha=90.00 beta=90.00 gamma=90.00
Space group P4/mmm (No. 123)
Unique sites:
Ba 0.000 0.500 0.000 x2
Li 0.000 0.000 0.000 x1
Sn 0.500 0.500 0.500 x1
As 0.000 0.000 0.500 x1

Formation energy, eV per atom: -0.401

***

[9]
Entry from the Alexandria database: an optimized crystal structure of BaLiSnAs2 (PBE).

Unit cell a=13.077 b=4.935 c=9.284 alpha=90.00 beta=100.08 gamma=90.00
Space group C2/m (No. 12)
Unique sites:
Ba 0.157 0.000 0.185 x4
Li 0.160 0.000 0.561 x4
Sn 0.062 0.500 0.700 x4
As 0.116 0.000 0.824 x4
As 0.137 0.500 0.431 x4

Formation energy, eV per atom: -0.640

***

[10]
Entry from the Alexandria database: an optimized crystal structure of Ba2SrLi2As2 (PBE).

Unit cell a=4.5494 b=4.5494 c=38.1026 alpha=90.00 beta=90.00 gamma=120.00
Space group R-3m (No. 166, hexagonal axes)
Unique sites:
Ba 0.0000 0.0000 0.1130 x6
Sr 0.0000 0.0000 0.0000 x3
Li 0.0000 0.0000 0.3855 x6
As 0.0000 0.0000 0.2796 x6

Formation energy, eV per atom: -0.824

***

[11]
Entry from the Alexandria database: an optimized crystal structure of BaSrLi2As2 (PBE).

Unit cell a=4.5899 b=4.5899 c=8.5048 alpha=90.00 beta=90.00 gamma=120.00
Space group P-3m1 (No. 164)
Unique sites:
Ba 0.0000 0.0000 0.0000 x1
Sr 0.0000 0.0000 0.5000 x1
Li 0.3333 0.6667 0.7243 x2
As 0.3333 0.6667 0.2649 x2

Formation energy, eV per atom: -1.005

***

[12]
Entry from the Alexandria database: an optimized crystal structure of BaLiTiAs2 (PBE).

Unit cell a=4.206 b=4.206 c=13.423 alpha=90.00 beta=90.00 gamma=90.00
Space group I-4m2 (No. 119)
Unique sites:
Ba 0.000 0.000 0.000 x2
Li 0.000 0.500 0.750 x2
Ti 0.000 0.500 0.250 x2
As 0.000 0.000 0.358 x4

Formation energy, eV per atom: -0.902

***

[13]
Entry from the Alexandria database: an optimized crystal structure of BaLiTl2As (PBE).

Unit cell a=5.813 b=5.813 c=6.195 alpha=90.00 beta=90.00 gamma=90.00
Space group P4/mmm (No. 123)
Unique sites:
Ba 0.000 0.000 0.000 x1
Li 0.500 0.500 0.000 x1
Tl 0.000 0.500 0.500 x2
As 0.000 0.000 0.500 x1

Formation energy, eV per atom: 0.043

***

[14]
Entry from the Alexandria database: an optimized crystal structure of Ba2LiAsW (PBE).

Unit cell a=5.774 b=5.774 c=4.740 alpha=90.00 beta=90.00 gamma=90.00
Space group P4/mmm (No. 123)
Unique sites:
Ba 0.000 0.500 0.000 x2
Li 0.000 0.000 0.000 x1
As 0.500 0.500 0.500 x1
W 0.000 0.000 0.500 x1

Formation energy, eV per atom: 0.907

***

[15]
Entry from the Alexandria database: an optimized crystal structure of BaLi2YAs (PBE).

Unit cell a=5.070 b=5.070 c=6.321 alpha=90.00 beta=90.00 gamma=90.00
Space group P4/mmm (No. 123)
Unique sites:
Ba 0.000 0.000 0.000 x1
Li 0.000 0.500 0.500 x2
Y 0.500 0.500 0.000 x1
As 0.000 0.000 0.500 x1

Formation energy, eV per atom: 0.007

***

[16]
Entry from the Alexandria database: an optimized crystal structure of Ba2MgAs (PBE).

Unit cell a=4.7758 b=4.7758 c=27.3825 alpha=90.00 beta=90.00 gamma=120.00
Space group R-3m (No. 166, hexagonal axes)
Unique sites:
Ba 0.0000 0.0000 0.2305 x6
Mg 0.0000 0.0000 0.0000 x3
As 0.0000 0.0000 0.5000 x3

Formation energy, eV per atom: -0.519

***

[17]
Entry from the Alexandria database: an optimized crystal structure of Ba3MgAs3 (PBE).

Unit cell a=20.404 b=7.020 c=13.532 alpha=90.00 beta=90.00 gamma=90.00
Space group Cmce (No. 64)
Unique sites:
Ba 0.000 0.178 0.150 x8
Ba 0.175 0.197 0.869 x16
Mg 0.081 0.000 0.500 x8
As 0.000 0.219 0.395 x8
As 0.160 0.206 0.619 x16

Formation energy, eV per atom: -0.965

***

[18]
Entry from the Alexandria database: an optimized crystal structure of Ba2MgAs (PBE).

Unit cell a=4.242 b=5.382 c=12.230 alpha=90.00 beta=90.00 gamma=90.00
Space group Imm2 (No. 44)
Unique sites:
Ba 0.000 0.000 0.000 x2
Ba 0.000 0.500 0.206 x2
Mg 0.000 0.500 0.803 x2
As 0.000 0.000 0.448 x2

Formation energy, eV per atom: -0.535

***

[19]
Entry from the Alexandria database: an optimized crystal structure of Ba4MgAs (PBE).

Unit cell a=10.213 b=10.213 c=10.213 alpha=90.00 beta=90.00 gamma=90.00
Space group F-43m (No. 216)
Unique sites:
Ba 0.124 0.124 0.376 x16
Mg 0.000 0.000 0.000 x4
As 0.250 0.250 0.750 x4

Formation energy, eV per atom: 0.345

***

[20]
Entry from the Alexandria database: an optimized crystal structure of BaMgAs3 (PBE).

Unit cell a=5.777 b=5.777 c=5.777 alpha=90.00 beta=90.00 gamma=90.00
Space group Pm-3m (No. 221)
Unique sites:
Ba 0.000 0.000 0.000 x1
Mg 0.500 0.500 0.500 x1
As 0.000 0.000 0.500 x3

Formation energy, eV per atom: 0.984